1.
VASP calculation (PBE-GGA) on a relaxed structure of Ac8CuRu3I4.

## Properties
As for the space group: R-3m, No. 166.

a b c (Å): 10.040 10.040 10.040
angles (deg): 51.65 51.65 51.65
Atoms (fractional coordinates):
Ac 0.215 0.735 0.735
Ac 0.229 0.229 0.229
Ac 0.265 0.265 0.785
Ac 0.265 0.785 0.265
Ac 0.735 0.215 0.735
Ac 0.735 0.735 0.215
Ac 0.771 0.771 0.771
Ac 0.785 0.265 0.265
Cu 0.500 0.500 0.500
Ru 0.000 0.000 0.500
Ru 0.000 0.500 0.000
Ru 0.500 0.000 0.000
I 0.000 0.000 0.000
I 0.000 0.500 0.500
I 0.500 0.000 0.500
I 0.500 0.500 0.000

---

2.
VASP calculation (PBE-GGA) on a relaxed structure of CeNi6B3.

## Properties
As for the space group: R3, No. 146. For the formation energy, the calculation gives -260 meV/atom.

a b c (Å): 5.912 5.912 5.912
angles (deg): 49.70 49.70 49.70
Atoms (fractional coordinates):
Ce 0.000 0.000 0.000
Ni 0.072 0.582 0.566
Ni 0.324 0.437 0.878
Ni 0.437 0.878 0.324
Ni 0.566 0.072 0.582
Ni 0.582 0.566 0.072
Ni 0.878 0.324 0.437
B 0.305 0.305 0.305
B 0.639 0.639 0.639
B 0.835 0.835 0.835

---

3.
VASP calculation (PBE-GGA) on a relaxed structure of La2MnZn.

## Properties
As for the space group: P4mm, No. 99. For the formation energy, the calculation gives 211 meV/atom.

a b c (Å): 3.545 3.545 7.922
angles (deg): 90.00 90.00 90.00
Atoms (fractional coordinates):
La 0.000 0.000 0.000
La 0.500 0.500 0.411
Mn 0.000 0.000 0.700
Zn 0.500 0.500 0.775

---

4.
VASP calculation (PBE-GGA) on a relaxed structure of CdNiHg.

## Properties
As for the space group: I4mm, No. 107. For the formation energy, the calculation gives 131 meV/atom. As for the energy above the most stable polymorph in this dataset: 29 meV per atom.

a b c (Å): 6.022 6.022 6.022
angles (deg): 150.19 150.19 42.66
Atoms (fractional coordinates):
Cd 0.000 0.000 0.000
Ni 0.355 0.355 0.000
Hg 0.707 0.707 0.000

---

5.
VASP calculation (PBE-GGA) on a relaxed structure of PmGdAlRh.

## Properties
As for the space group: F-43m, No. 216. For the formation energy, the calculation gives -473 meV/atom.

a b c (Å): 5.080 5.080 5.080
angles (deg): 60.00 60.00 60.00
Atoms (fractional coordinates):
Pm 0.000 0.000 0.000
Gd 0.500 0.500 0.500
Al 0.250 0.250 0.250
Rh 0.750 0.750 0.750

---

6.
VASP calculation (PBE-GGA) on a relaxed structure of CaErP2S8.

## Properties
As for the space group: P-3, No. 147.

a b c (Å): 5.971 5.971 9.013
angles (deg): 90.00 90.00 120.00
Atoms (fractional coordinates):
Ca 0.000 0.000 0.000
Er 0.000 0.000 0.500
P 0.333 0.667 0.763
P 0.667 0.333 0.237
S 0.000 0.337 0.702
S 0.000 0.663 0.298
S 0.333 0.667 0.989
S 0.337 0.000 0.702
S 0.337 0.337 0.298
S 0.663 0.000 0.298
S 0.663 0.663 0.702
S 0.667 0.333 0.011

---

7.
VASP calculation (PBE-GGA) on a relaxed structure of SmHo3Rh.

## Properties
As for the space group: Pmn2_1, No. 31. For the formation energy, the calculation gives -300 meV/atom. As for the energy above the most stable polymorph in this dataset: 0 meV per atom.

a b c (Å): 7.548 6.506 6.158
angles (deg): 90.00 90.00 90.00
Atoms (fractional coordinates):
Sm 0.000 0.147 0.000
Sm 0.500 0.853 0.500
Ho 0.000 0.847 0.483
Ho 0.248 0.316 0.493
Ho 0.252 0.684 0.993
Ho 0.500 0.153 0.983
Ho 0.748 0.684 0.993
Ho 0.752 0.316 0.493
Rh 0.000 0.506 0.742
Rh 0.500 0.494 0.242

---

8.
VASP calculation (PBE-GGA) on a relaxed structure of SmGa2Ag.

## Properties
As for the space group: P4/mmm, No. 123. For the formation energy, the calculation gives -287 meV/atom.

a b c (Å): 3.432 3.432 7.005
angles (deg): 90.00 90.00 90.00
Atoms (fractional coordinates):
Sm 0.000 0.000 0.000
Ga 0.500 0.500 0.291
Ga 0.500 0.500 0.709
Ag 0.000 0.000 0.500

---

Computed DFT total energy (eV per atom) in order:
-5.151 -6.325 -4.863 -2.201 -7.955 -4.935 -5.461 -3.693